Here is YErIn2 after structural relaxation from OQMD. Energies are from PBE.

abc: 5.526 5.526 3.493
angles: 90.00 90.00 101.83
Fractional coordinates of all 4 atoms:
In: 0.000 0.500 0.000
In: 0.500 0.000 0.000
Y: 0.500 0.500 0.500
Er: 0.000 0.000 0.500

Output
volume: 26.103 Å³/atom
total magnetic moment: 0.05 μB/f.u.
space-group type: Cmmm
energy above the lowest structure with this stoichiometry: 0.0 meV/atom
total DFT energy (no corrections): -4.596 eV/atom